# PBE La2CdGa, relaxed
data_La2CdGa
_chemical_formula_sum 'La4 Cd2 Ga2'
_symmetry_space_group_name_H-M 'P 1'
_symmetry_Int_Tables_number 1
_symmetry_space_group_name_Hall 'P 1'
_cell_length_a 6.955
_cell_length_b 6.955
_cell_length_c 6.955
_cell_angle_alpha 102.71
_cell_angle_beta 102.71
_cell_angle_gamma 124.06
loop_
_atom_site_label
_atom_site_fract_x
_atom_site_fract_y
_atom_site_fract_z
_atom_site_occupancy
La1 0.096 0.125 0.471 1
La2 0.375 0.904 0.029 1
La3 0.654 0.625 0.529 1
La4 0.875 0.346 0.971 1
Cd1 0.250 0.750 0.500 1
Cd2 0.500 0.500 0.000 1
Ga1 0.000 0.000 0.000 1
Ga2 0.750 0.250 0.500 1
# E, eV/cell: -28.31
# Energy of formation, meV/atom: -90
# SG: I-42d